(i)
Compound: CdInFeSn2
Source: Alexandria
Functional: PBE
Structure: optimized geometry

## Properties
V = 125.3 Å³/cell

Geometry as POSCAR:
```
CdInFeSn2
1.0
4.963 0.000 0.000
0.000 4.963 0.000
0.000 0.000 5.087
Cd In Fe Sn
1 1 1 2
direct
0.000 0.000 0.000 Cd
0.500 0.500 0.000 In
0.500 0.500 0.500 Fe
0.000 0.500 0.500 Sn
0.500 0.000 0.500 Sn
```

---

(ii)
Compound: CdInFeSn2
Source: Alexandria
Functional: PBE
Structure: optimized geometry

## Properties
V = 126.4 Å³/cell

Geometry as POSCAR:
```
CdInFeSn2
1.0
4.931 0.000 0.000
0.000 4.931 0.000
0.000 0.000 5.200
Cd In Fe Sn
1 1 1 2
direct
0.000 0.000 0.000 Cd
0.500 0.500 0.000 In
0.000 0.000 0.500 Fe
0.000 0.500 0.500 Sn
0.500 0.000 0.500 Sn
```

---

Short version: (ii) is the least stable of them.

---

(i)
Compound: Cd2FeIr
Source: Alexandria
Functional: PBE
Structure: optimized geometry

## Properties
V = 66.7 Å³/cell

Geometry as POSCAR:
```
Cd2FeIr
1.0
4.849 -1.528 0.000
4.849 1.528 0.000
-1.250 0.000 4.500
Cd Fe Ir
2 1 1
direct
0.249 0.249 0.249 Cd
0.751 0.751 0.751 Cd
0.500 0.500 0.000 Fe
0.000 0.000 0.500 Ir
```

---

(ii)
Compound: Cd2FeIr
Source: Alexandria
Functional: PBE
Structure: optimized geometry

## Properties
V = 66.9 Å³/cell

Geometry as POSCAR:
```
Cd2FeIr
1.0
1.497 -2.383 0.000
1.497 2.383 0.000
0.000 0.000 9.371
Cd Fe Ir
2 1 1
direct
0.000 0.000 0.246 Cd
0.000 0.000 0.754 Cd
0.500 0.500 0.000 Fe
0.500 0.500 0.500 Ir
```

---

Short version: (ii) is the least stable of them.

---

(i)
Compound: CdFeIr
Source: Alexandria
Functional: PBE
Structure: optimized geometry

## Properties
V = 47.1 Å³/cell

Geometry as POSCAR:
```
CdFeIr
1.0
-1.470 1.470 5.447
1.470 -1.470 5.447
1.470 1.470 -5.447
Cd Fe Ir
1 1 1
direct
0.000 0.000 0.000 Cd
0.681 0.681 0.000 Fe
0.312 0.312 0.000 Ir
```

---

(ii)
Compound: CdFeIr
Source: Alexandria
Functional: PBE
Structure: optimized geometry

## Properties
V = 47.1 Å³/cell

Geometry as POSCAR:
```
CdFeIr
1.0
0.000 2.349 6.927
1.447 0.000 6.927
1.447 2.349 0.000
Cd Fe Ir
1 1 1
direct
0.000 0.000 0.000 Cd
0.672 0.672 0.328 Fe
0.320 0.320 0.680 Ir
```

---

Short version: (ii) is the least stable of them.

---

(i)
Compound: KCd2Fe
Source: Alexandria
Functional: PBE
Structure: optimized geometry

## Properties
V = 96.0 Å³/cell

Geometry as POSCAR:
```
KCd2Fe
1.0
2.983 0.000 0.000
0.000 3.903 0.000
0.000 0.000 8.251
K Cd Fe
1 2 1
direct
0.000 0.000 0.000 K
0.500 0.500 0.322 Cd
0.500 0.500 0.678 Cd
0.000 0.000 0.500 Fe
```

---

(ii)
Compound: KCd2Fe
Source: Alexandria
Functional: PBE
Structure: optimized geometry

## Properties
V = 90.3 Å³/cell

Geometry as POSCAR:
```
KCd2Fe
1.0
1.537 0.887 11.045
-1.537 0.887 11.045
0.000 -1.774 11.045
K Cd Fe
1 2 1
direct
0.000 0.000 0.000 K
0.515 0.515 0.515 Cd
0.762 0.762 0.762 Cd
0.247 0.247 0.247 Fe
```

---

Short version: (ii) is the least stable of them.

---

(i)
Compound: KCd2Fe
Source: Alexandria
Functional: PBE
Structure: optimized geometry

## Properties
V = 97.9 Å³/cell

Geometry as POSCAR:
```
KCd2Fe
1.0
0.000 3.658 3.658
3.658 0.000 3.658
3.658 3.658 0.000
K Cd Fe
1 2 1
direct
0.000 0.000 0.000 K
0.250 0.250 0.250 Cd
0.750 0.750 0.750 Cd
0.500 0.500 0.500 Fe
```

---

(ii)
Compound: KCd2Fe
Source: Alexandria
Functional: PBE
Structure: optimized geometry

## Properties
V = 104.5 Å³/cell

Geometry as POSCAR:
```
KCd2Fe
1.0
4.912 -1.500 0.000
4.912 1.500 0.000
-0.627 0.000 7.088
K Cd Fe
1 2 1
direct
0.000 0.000 0.000 K
0.239 0.239 0.675 Cd
0.496 0.496 0.448 Cd
0.762 0.762 0.353 Fe
```

---

(iii)
Compound: KCd2Fe
Source: Alexandria
Functional: PBE
Structure: optimized geometry

## Properties
V = 95.4 Å³/cell

Geometry as POSCAR:
```
KCd2Fe
1.0
-1.504 2.762 5.742
1.504 -2.762 5.742
1.504 2.762 -5.742
K Cd Fe
1 2 1
direct
0.000 0.000 0.000 K
0.291 0.791 0.500 Cd
0.543 0.543 0.000 Cd
0.737 0.237 0.500 Fe
```

---

(iv)
Compound: KCd2Fe
Source: Alexandria
Functional: PBE
Structure: optimized geometry

## Properties
V = 93.2 Å³/cell

Geometry as POSCAR:
```
KCd2Fe
1.0
3.486 -4.511 0.000
3.486 4.511 0.000
-0.010 0.000 2.963
K Cd Fe
1 2 1
direct
0.000 0.000 0.000 K
0.000 0.500 0.500 Cd
0.500 0.000 0.500 Cd
0.500 0.500 0.000 Fe
```

---

Short version: (i) is the least stable of them.

---

(i)
Compound: KCd2Fe
Source: Alexandria
Functional: PBE
Structure: optimized geometry

## Properties
V = 109.4 Å³/cell

Geometry as POSCAR:
```
KCd2Fe
1.0
3.676 0.000 0.000
0.000 3.676 0.000
0.000 0.000 8.100
K Cd Fe
1 2 1
direct
0.000 0.000 0.000 K
0.000 0.000 0.573 Cd
0.500 0.500 0.320 Cd
0.500 0.500 0.657 Fe
```

---

(ii)
Compound: KCd2Fe
Source: Alexandria
Functional: PBE
Structure: optimized geometry

## Properties
V = 97.5 Å³/cell

Geometry as POSCAR:
```
KCd2Fe
1.0
0.000 3.654 3.654
3.654 0.000 3.654
3.654 3.654 0.000
K Cd Fe
1 2 1
direct
0.000 0.000 0.000 K
0.500 0.500 0.500 Cd
0.750 0.750 0.750 Cd
0.250 0.250 0.250 Fe
```

---

(iii)
Compound: KCd2Fe
Source: Alexandria
Functional: PBE
Structure: optimized geometry

## Properties
V = 103.7 Å³/cell

Geometry as POSCAR:
```
KCd2Fe
1.0
2.972 0.000 0.000
0.000 4.399 0.000
0.000 0.000 7.930
K Cd Fe
1 2 1
direct
0.000 0.000 0.000 K
0.000 0.000 0.565 Cd
0.500 0.500 0.322 Cd
0.500 0.500 0.665 Fe
```

---

Short version: (ii) is the least stable of them.